## A
Below is an optimized crystal structure of ZnAgTeI2, with properties calculated at the GGA-PBE level.

Properties
Magnetization   0.00 μB/f.u.
ρ   5.43 g/cm³
Symmetry   No. 123
Calculated volume   33.9 A^3/atom

abc: 5.6416 5.6416 5.3253
angles: 90.00 90.00 90.00
Last column: nearest neighbours and their distance in Å.
Atoms (fractional coordinates):
Zn1 0.0000 0.0000 0.0000  2 Te 2.66, 4 I 2.82
Ag1 0.5000 0.5000 0.5000  8 I 3.88, 4 Te 3.99
Te1 0.0000 0.0000 0.5000  2 Zn 2.66
I1 0.0000 0.5000 0.0000  2 Zn 2.82
I2 0.5000 0.0000 0.0000  2 Zn 2.82

***

## B
Below is an optimized crystal structure of ZnAgTeI2, with properties calculated at the GGA-PBE level.

Properties
Magnetization   0.00 μB/f.u.
ρ   5.16 g/cm³
Symmetry   No. 123
Calculated volume   35.7 A^3/atom

abc: 5.6188 5.6188 5.6555
angles: 90.00 90.00 90.00
Last column: nearest neighbours and their distance in Å.
Atoms (fractional coordinates):
Zn1 0.0000 0.0000 0.0000  4 Te 3.97, 8 I 3.99
Ag1 0.5000 0.5000 0.5000  4 I 2.81, 2 Te 2.83
Te1 0.5000 0.5000 0.0000  2 Ag 2.83
I1 0.0000 0.5000 0.5000  2 Ag 2.81
I2 0.5000 0.0000 0.5000  2 Ag 2.81

***

Relative energy of each structure, in kJ/mol of atoms: A 0.0; B 11.6.

***

## A
Below is an optimized crystal structure of TiAgI4, with properties calculated at the GGA-PBE level.

Properties
Magnetization   1.00 μB/f.u.
ρ   4.86 g/cm³
Symmetry   No. 12
Calculated volume   37.8 A^3/atom

abc: 8.3946 8.3946 7.6987
angles: 117.03 117.03 28.25
Last column: nearest neighbours and their distance in Å.
Atoms (fractional coordinates):
Ti1 0.0000 0.0000 0.0000  6 I 2.80-2.86
Ag1 0.5000 0.5000 0.5000  6 I 2.95-3.29
I1 0.1047 0.1047 0.4096  1 Ti 2.80, 2 Ag 2.95
I2 0.3811 0.3811 0.0169  2 Ti 2.86
I3 0.6189 0.6189 0.9831  2 Ti 2.86
I4 0.8953 0.8953 0.5904  1 Ti 2.80, 2 Ag 2.95

***

## B
Below is an optimized crystal structure of TiAgI4, with properties calculated at the GGA-PBE level.

Properties
Magnetization   1.08 μB/f.u.
ρ   3.49 g/cm³
Symmetry   No. 131
Calculated volume   52.6 A^3/atom

abc: 8.1525 8.1525 9.5058
angles: 90.00 90.00 90.00
Last column: nearest neighbours and their distance in Å.
Atoms (fractional coordinates):
Ti1 0.0000 0.5000 0.0000  4 I 2.72
Ti2 0.5000 0.0000 0.5000  4 I 2.72
Ag1 0.0000 0.0000 0.0000  4 I 2.92
Ag2 0.0000 0.0000 0.5000  4 I 2.92
I1 0.2389 0.2676 0.0000  1 Ti 2.72, 1 Ag 2.92
I2 0.2389 0.7324 0.0000  1 Ti 2.72, 1 Ag 2.92
I3 0.2676 0.2389 0.5000  1 Ti 2.72, 1 Ag 2.92
I4 0.2676 0.7611 0.5000  1 Ti 2.72, 1 Ag 2.92
I5 0.7324 0.2389 0.5000  1 Ti 2.72, 1 Ag 2.92
I6 0.7324 0.7611 0.5000  1 Ti 2.72, 1 Ag 2.92
I7 0.7611 0.2676 0.0000  1 Ti 2.72, 1 Ag 2.92
I8 0.7611 0.7324 0.0000  1 Ti 2.72, 1 Ag 2.92

***

Relative energy of each structure, in kJ/mol of atoms: A 0.0; B 20.1.

***

## A
Below is an optimized crystal structure of TiAgI6, with properties calculated at the GGA-PBE level.

Properties
Magnetization   0.00 μB/f.u.
ρ   4.69 g/cm³
Symmetry   No. 12
Calculated volume   40.6 A^3/atom

abc: 7.6031 7.6031 7.3808
angles: 102.38 102.38 122.01
Last column: nearest neighbours and their distance in Å.
Atoms (fractional coordinates):
Ti1 0.0000 0.0000 0.0000  6 I 2.71-2.79
Ag1 0.5000 0.5000 0.5000  4 I 2.84
I1 0.0928 0.3979 0.2457  1 Ti 2.79, 1 Ag 2.84
I2 0.2168 0.2168 0.7843  1 Ti 2.71
I3 0.3979 0.0928 0.2457  1 Ti 2.79, 1 Ag 2.84
I4 0.6021 0.9072 0.7543  1 Ti 2.79, 1 Ag 2.84
I5 0.7832 0.7832 0.2157  1 Ti 2.71
I6 0.9072 0.6021 0.7543  1 Ti 2.79, 1 Ag 2.84

***

## B
Below is an optimized crystal structure of TiAgI6, with properties calculated at the GGA-PBE level.

Properties
Magnetization   0.00 μB/f.u.
ρ   5.17 g/cm³
Symmetry   No. 2
Calculated volume   36.8 A^3/atom

abc: 6.9912 7.3529 7.4397
angles: 63.19 89.58 63.04
Last column: nearest neighbours and their distance in Å.
Atoms (fractional coordinates):
Ti1 0.0000 0.0000 0.0000  6 I 2.71-2.78
Ag1 0.5000 0.0000 0.5000  4 I 2.86-2.88
I1 0.0455 0.5668 0.2280  1 Ti 2.71
I2 0.2430 0.8309 0.7589  1 Ti 2.78, 1 Ag 2.88
I3 0.4003 0.8356 0.2508  1 Ti 2.78, 1 Ag 2.86
I4 0.5997 0.1644 0.7492  1 Ti 2.78, 1 Ag 2.86
I5 0.7570 0.1691 0.2411  1 Ti 2.78, 1 Ag 2.88
I6 0.9545 0.4332 0.7720  1 Ti 2.71

***

Relative energy of each structure, in kJ/mol of atoms: A 0.0; B 1.1.

***

## A
Below is an optimized crystal structure of Ti2AgI2, with properties calculated at the GGA-PBE level.

Properties
Magnetization   0.00 μB/f.u.
ρ   5.11 g/cm³
Symmetry   No. 139
Calculated volume   29.7 A^3/atom

abc: 10.6580 10.6580 10.6580
angles: 159.49 159.49 29.17
Last column: nearest neighbours and their distance in Å.
Atoms (fractional coordinates):
Ti1 0.2500 0.7500 0.5000  4 Ti 2.68, 4 I 2.84
Ti2 0.7500 0.2500 0.5000  4 Ti 2.68, 4 I 2.84
Ag1 0.0000 0.0000 0.0000  4 Ag 3.80, 8 I 4.06
I1 0.3522 0.3522 0.0000  4 Ti 2.84
I2 0.6478 0.6478 0.0000  4 Ti 2.84

***

## B
Below is an optimized crystal structure of Ti2AgI2, with properties calculated at the GGA-PBE level.

Properties
Magnetization   1.19 μB/f.u.
ρ   6.90 g/cm³
Symmetry   No. 127
Calculated volume   22.0 A^3/atom

abc: 8.1160 8.1160 3.3425
angles: 90.00 90.00 90.00
Last column: nearest neighbours and their distance in Å.
Atoms (fractional coordinates):
Ti1 0.1526 0.3474 0.0000  6 I 2.86-2.94
Ti2 0.3474 0.8474 0.0000  6 I 2.86-2.94
Ti3 0.6526 0.1526 0.0000  6 I 2.86-2.94
Ti4 0.8474 0.6526 0.0000  6 I 2.86-2.94
Ag1 0.0000 0.0000 0.5000  4 I 3.11, 2 Ag 3.34
Ag2 0.5000 0.5000 0.5000  4 I 3.11, 2 Ag 3.34
I1 0.1456 0.6456 0.5000  6 Ti 2.86-2.94, 2 Ag 3.11
I2 0.3544 0.1456 0.5000  6 Ti 2.86-2.94, 2 Ag 3.11
I3 0.6456 0.8544 0.5000  6 Ti 2.86-2.94, 2 Ag 3.11
I4 0.8544 0.3544 0.5000  6 Ti 2.86-2.94, 2 Ag 3.11

***

Relative energy of each structure, in kJ/mol of atoms: A 0.0; B 29.4.